No. 1
A plane-wave DFT calculation with PBE was carried out for a geometry-optimized Zn2TcTe structure.

Summary:
As for the uncorrected formation energy: 36.2 kJ/mol of atoms.

a = 4.792 Å, b = 4.792 Å, c = 3.321 Å
α = 90.00°, β = 90.00°, γ = 113.61°
Positions (direct):
Zn1 0.000 0.500 0.000
Zn2 0.500 0.000 0.000
Tc1 0.000 0.000 0.500
Te1 0.500 0.500 0.500


No. 2
A plane-wave DFT calculation with PBE was carried out for a geometry-optimized Ta2PtCl structure.

Summary:
As for the uncorrected formation energy: -14.5 kJ/mol of atoms. As for the energy above the lowest structure with this stoichiometry: 0.135 eV/atom.

a = 2.878 Å, b = 4.044 Å, c = 5.914 Å
α = 90.00°, β = 90.00°, γ = 90.00°
Positions (direct):
Ta1 0.000 0.000 0.242
Ta2 0.000 0.000 0.758
Pt1 0.500 0.500 0.000
Cl1 0.000 0.500 0.500


No. 3
A plane-wave DFT calculation with PBE was carried out for a geometry-optimized LiTbPmIr structure.

Summary:
The formation energy from the elements comes out at -47.21 kJ/mol of atoms.

a = 4.995 Å, b = 4.995 Å, c = 4.995 Å
α = 60.00°, β = 60.00°, γ = 60.00°
Positions (direct):
Li1 0.000 0.000 0.000
Tb1 0.750 0.750 0.750
Pm1 0.250 0.250 0.250
Ir1 0.500 0.500 0.500